1.
A plane-wave DFT calculation with PBE was carried out for crystalline ErMgAlGa at its relaxed geometry.

a = 4.905 Å, b = 4.905 Å, c = 4.905 Å
α = 60.00°, β = 60.00°, γ = 60.00°
Positions (direct):
Al1 0.750 0.750 0.750
Mg1 0.500 0.500 0.500
Ga1 0.250 0.250 0.250
Er1 0.000 0.000 0.000

Its crystal system is cubic.



2.
A plane-wave DFT calculation with PBE was carried out for crystalline Er2Mg2AlGa4 at its relaxed geometry.

a = 6.588 Å, b = 6.588 Å, c = 6.588 Å
α = 94.31°, β = 117.54°, γ = 117.54°
Positions (direct):
Al1 0.000 0.000 0.000
Ga1 0.509 0.255 0.255
Ga2 0.491 0.745 0.745
Ga3 0.000 0.255 0.745
Ga4 0.000 0.745 0.255
Mg1 0.500 0.750 0.250
Mg2 0.500 0.250 0.750
Er1 0.000 0.309 0.309
Er2 0.000 0.691 0.691

Its crystal system is tetragonal.



3.
A plane-wave DFT calculation with PBE was carried out for crystalline NdErAlGa at its relaxed geometry.

a = 4.447 Å, b = 4.132 Å, c = 6.010 Å
α = 90.00°, β = 111.71°, γ = 90.00°
Positions (direct):
Nd1 0.141 0.000 0.282
Al1 0.427 0.000 0.854
Ga1 0.572 0.500 0.144
Er1 0.860 0.500 0.720

Its crystal system is orthorhombic. The excess energy over the best structure of this formula in the dataset comes out at 0.00 eV per formula unit.



4.
A plane-wave DFT calculation with PBE was carried out for crystalline Nd2Er2AlGa4 at its relaxed geometry.

a = 6.666 Å, b = 6.666 Å, c = 6.666 Å
α = 96.32°, β = 116.42°, γ = 116.42°
Positions (direct):
Er1 0.000 0.684 0.684
Er2 0.000 0.316 0.316
Ga1 0.499 0.749 0.749
Ga2 0.000 0.749 0.251
Ga3 0.000 0.251 0.749
Ga4 0.501 0.251 0.251
Al1 0.000 0.000 0.000
Nd1 0.500 0.750 0.250
Nd2 0.500 0.250 0.750

Its crystal system is tetragonal.



5.
A plane-wave DFT calculation with PBE was carried out for crystalline NdErAlGa at its relaxed geometry.

a = 5.146 Å, b = 5.146 Å, c = 5.146 Å
α = 60.00°, β = 60.00°, γ = 60.00°
Positions (direct):
Er1 0.000 0.000 0.000
Al1 0.750 0.750 0.750
Ga1 0.250 0.250 0.250
Nd1 0.500 0.500 0.500

Its crystal system is cubic. The excess energy over the best structure of this formula in the dataset comes out at 0.11 eV per formula unit.



6.
A plane-wave DFT calculation with PBE was carried out for crystalline Er2Al2GaNi5 at its relaxed geometry.

a = 3.158 Å, b = 9.812 Å, c = 9.812 Å
α = 90.00°, β = 90.00°, γ = 90.00°
Positions (direct):
Ni1 0.500 0.000 0.500
Ni2 0.500 0.698 0.450
Ni3 0.500 0.450 0.302
Ni4 0.500 0.550 0.698
Ni5 0.500 0.950 0.198
Ni6 0.500 0.500 0.000
Ni7 0.500 0.802 0.950
Ni8 0.500 0.198 0.050
Ni9 0.500 0.050 0.802
Ni10 0.500 0.302 0.550
Al1 0.000 0.375 0.125
Al2 0.000 0.125 0.625
Al3 0.000 0.875 0.375
Al4 0.000 0.625 0.875
Er1 0.000 0.675 0.175
Er2 0.000 0.175 0.325
Er3 0.000 0.325 0.825
Er4 0.000 0.825 0.675
Ga1 0.000 0.000 0.000
Ga2 0.000 0.500 0.500

Its crystal system is tetragonal.



7.
A plane-wave DFT calculation with PBE was carried out for crystalline Er2AlGa2Ni5 at its relaxed geometry.

a = 3.353 Å, b = 9.537 Å, c = 9.537 Å
α = 90.00°, β = 90.00°, γ = 90.00°
Positions (direct):
Ni1 0.500 0.554 0.700
Ni2 0.500 0.054 0.800
Ni3 0.500 0.200 0.054
Ni4 0.500 0.500 0.000
Ni5 0.500 0.000 0.500
Ni6 0.500 0.300 0.554
Ni7 0.500 0.946 0.200
Ni8 0.500 0.700 0.446
Ni9 0.500 0.800 0.946
Ni10 0.500 0.446 0.300
Er1 0.000 0.324 0.824
Er2 0.000 0.176 0.324
Er3 0.000 0.824 0.676
Er4 0.000 0.676 0.176
Al1 0.000 0.500 0.500
Al2 0.000 0.000 0.000
Ga1 0.000 0.877 0.377
Ga2 0.000 0.623 0.877
Ga3 0.000 0.123 0.623
Ga4 0.000 0.377 0.123

Its crystal system is tetragonal.



8.
A plane-wave DFT calculation with PBE was carried out for crystalline ErAlGa2Ni4 at its relaxed geometry.

a = 4.074 Å, b = 4.074 Å, c = 8.337 Å
α = 75.86°, β = 75.86°, γ = 60.00°
Positions (direct):
Ni1 0.597 0.597 0.208
Ni2 0.133 0.133 0.602
Ni3 0.867 0.867 0.398
Ni4 0.403 0.403 0.792
Al1 0.500 0.500 0.500
Ga1 0.243 0.243 0.271
Ga2 0.757 0.757 0.729
Er1 0.000 0.000 0.000

Its crystal system is trigonal.



9.
A plane-wave DFT calculation with PBE was carried out for crystalline ErAlGaNi3 at its relaxed geometry.

a = 5.318 Å, b = 6.022 Å, c = 6.628 Å
α = 117.02°, β = 90.00°, γ = 90.00°
Positions (direct):
Ni1 0.000 0.302 0.000
Ni2 0.250 0.151 0.303
Ni3 0.500 0.302 0.000
Ni4 0.750 0.849 0.697
Ni5 0.000 0.698 0.000
Ni6 0.500 0.698 0.000
Al1 0.250 0.947 0.894
Al2 0.750 0.053 0.106
Ga1 0.250 0.357 0.715
Ga2 0.750 0.643 0.285
Er1 0.750 0.298 0.596
Er2 0.250 0.702 0.404

Its crystal system is orthorhombic.



10.
A plane-wave DFT calculation with PBE was carried out for crystalline Er3AlGa2Ni9 at its relaxed geometry.

a = 5.926 Å, b = 5.926 Å, c = 8.643 Å
α = 90.00°, β = 90.00°, γ = 120.00°
Positions (direct):
Ni1 0.736 0.868 0.276
Ni2 0.500 0.000 0.000
Ni3 0.500 0.500 0.000
Ni4 0.132 0.264 0.276
Ni5 0.000 0.500 0.000
Ni6 0.868 0.736 0.724
Ni7 0.132 0.868 0.276
Ni8 0.868 0.132 0.724
Ni9 0.264 0.132 0.724
Ga1 0.333 0.667 0.184
Ga2 0.667 0.333 0.816
Er1 0.667 0.333 0.281
Er2 0.333 0.667 0.719
Er3 0.000 0.000 0.000
Al1 0.000 0.000 0.500

Its crystal system is trigonal.



| no. | calculated density (Mg/m³) | ΔH_f (0 K) (eV/atom) | VASP energy (eV/atom) |
| --- | --- | --- | --- |
| 1 | 5.74 | -0.269 | -3.50 |
| 2 | 5.47 | -0.082 | -3.21 |
| 3 | 6.61 | -0.485 | -4.51 |
| 4 | 7.03 | -0.298 | -4.13 |
| 5 | 7.04 | -0.457 | -4.48 |
| 6 | 8.21 | -0.393 | -5.25 |
| 7 | 8.65 | -0.423 | -5.21 |
| 8 | 8.21 | -0.509 | -5.19 |
| 9 | 7.73 | -0.332 | -5.11 |
| 10 | 7.56 | -0.148 | -5.18 |